Al2ZnW after structural relaxation, computed with PBE.

Computed properties:
M_tot = 0.000 μB per atom
VASP energy = -21.67 eV/cell
E_form = 0.0094 eV/atom
D(E_F) = 0.30 states/eV per atom

Cell: 4.985 4.985 4.766 Å, 96.52 96.52 31.85°
Positions (direct):
Al: 0.000 0.000 0.000
Al: 0.242 0.242 0.714
Zn: 0.484 0.484 0.482
W: 0.741 0.741 0.214

---

Al2ZnW after structural relaxation, computed with PBE.

Computed properties:
M_tot = 0.000 μB per atom
VASP energy = -21.69 eV/cell
E_form = 0.0062 eV/atom
D(E_F) = 0.57 states/eV per atom

Cell: 2.934 3.762 5.569 Å, 90.00 90.00 90.00°
Positions (direct):
Al: 0.000 0.000 0.245
Al: 0.000 0.000 0.755
Zn: 0.500 0.500 0.500
W: 0.500 0.500 0.000

---

AlZn4W after structural relaxation, computed with PBE.

Computed properties:
M_tot = 0.215 μB per atom
VASP energy = -19.85 eV/cell
E_form = 0.3228 eV/atom
D(E_F) = 0.82 states/eV per atom

Cell: 4.996 4.996 4.996 Å, 60.00 60.00 60.00°
Positions (direct):
Al: 0.000 0.000 0.000
Zn: 0.128 0.624 0.624
Zn: 0.624 0.128 0.624
Zn: 0.624 0.624 0.128
Zn: 0.624 0.624 0.624
W: 0.250 0.250 0.250

---

AlZn2W after structural relaxation, computed with PBE.

Computed properties:
M_tot = 0.000 μB per atom
VASP energy = -18.34 eV/cell
E_form = 0.2257 eV/atom
D(E_F) = 0.81 states/eV per atom

Cell: 2.720 2.720 8.364 Å, 90.00 90.00 90.00°
Positions (direct):
Al: 0.000 0.000 0.000
Zn: 0.500 0.500 0.252
Zn: 0.500 0.500 0.748
W: 0.000 0.000 0.500

---

Al2ZnW after structural relaxation, computed with PBE.

Computed properties:
M_tot = 0.000 μB per atom
VASP energy = -21.81 eV/cell
E_form = -0.0254 eV/atom
D(E_F) = 0.40 states/eV per atom

Cell: 2.736 4.675 4.816 Å, 90.00 90.00 90.00°
Positions (direct):
Al: 0.000 0.000 0.000
Al: 0.000 0.500 0.345
Zn: 0.500 0.000 0.504
W: 0.500 0.500 0.840

---

AlZn2W after structural relaxation, computed with PBE.

Computed properties:
M_tot = 0.000 μB per atom
VASP energy = -18.82 eV/cell
E_form = 0.1055 eV/atom
D(E_F) = 0.50 states/eV per atom

Cell: 3.811 3.811 4.034 Å, 90.00 90.00 90.00°
Positions (direct):
Al: 0.000 0.000 0.000
Zn: 0.000 0.500 0.500
Zn: 0.500 0.000 0.500
W: 0.500 0.500 0.000

---

The lowest D(E_F) belongs to which entry?
number 1

---

Number 6 is which compound?
AlZn2W

---

What did the fourth record say?
AlZn2W after structural relaxation, computed with PBE.

Computed properties:
M_tot = 0.000 μB per atom
VASP energy = -18.34 eV/cell
E_form = 0.2257 eV/atom
D(E_F) = 0.81 states/eV per atom

Cell: 2.720 2.720 8.364 Å, 90.00 90.00 90.00°
Positions (direct):
Al: 0.000 0.000 0.000
Zn: 0.500 0.500 0.252
Zn: 0.500 0.500 0.748
W: 0.000 0.000 0.500